1.
Compound: Ca2HfSnN4
Source: Alexandria
Functional: PBE-GGA
Structure: relaxed

Computed properties:
energy relative to the elements, uncorrected	-0.971	eV per atom
magnetization	0.00	μB per formula unit

Unit cell a=5.7747 b=3.3015 c=5.9584 alpha=90.00 beta=109.78 gamma=90.00
With the nearest neighbours (Å) after each atom.
Space group P2/m (No. 10)
Symmetry-distinct sites (fractional):
Ca (0.0000, 0.0000, 0.0000) [1 per cell]  6 N 2.45-2.47
Ca (0.5000, 0.5000, 0.0000) [1 per cell]  6 N 2.49-2.53
Hf (0.0000, 0.5000, 0.5000) [1 per cell]  6 N 2.24-2.27
Sn (0.5000, 0.0000, 0.5000) [1 per cell]  6 N 2.26-2.36
N (0.2281, 0.0000, 0.7195) [2 per cell]  2 Hf 2.24, 1 Sn 2.36, 3 Ca 2.45-2.49
N (0.2589, 0.5000, 0.2849) [2 per cell]  2 Sn 2.26, 1 Hf 2.27, 2 Ca 2.47



2.
Compound: FeTc2Os
Source: Alexandria
Functional: PBE-GGA
Structure: relaxed

Computed properties:
magnetization	1.59	μB per formula unit
energy	-39.9	eV/cell
density of states at the Fermi level	1.15	states/eV per atom

Unit cell a=4.6316 b=2.7094 c=4.6707 alpha=90.00 beta=109.45 gamma=90.00
With the nearest neighbours (Å) after each atom.
Space group P2/m (No. 10)
Symmetry-distinct sites (fractional):
Fe (0.0000, 0.0000, 0.0000) [1 per cell]  4 Os 2.68, 6 Tc 2.69-2.70, 2 Fe 2.71
Tc (0.0000, 0.5000, 0.5000) [1 per cell]  6 Tc 2.68-2.71, 2 Os 2.69, 4 Fe 2.70
Tc (0.5000, 0.0000, 0.5000) [1 per cell]  6 Tc 2.68-2.71, 2 Fe 2.69, 4 Os 2.70
Os (0.5000, 0.5000, 0.0000) [1 per cell]  4 Fe 2.68, 6 Tc 2.69-2.70, 2 Os 2.71